Record 1
# Cs4K2BeAs2 PBE optimized geometry
data_Cs4K2BeAs2
_chemical_formula_sum 'Cs8 K4 Be2 As4'
_cell_length_a 14.9567
_cell_length_b 14.3686
_cell_length_c 5.8586
_cell_angle_alpha 90.00
_cell_angle_beta 111.31
_cell_angle_gamma 90.00
_space_group_name_H-M_alt 'C 1 2/m 1'
_space_group_IT_number 12
_space_group_name_Hall '-C 2y'
loop_
_atom_site_label
_atom_site_fract_x
_atom_site_fract_y
_atom_site_fract_z
Cs1 0.1270 0.1521 0.4459
K1 0.1374 0.5000 0.8556
Be1 0.0000 0.0000 0.0000
As1 0.1295 0.0000 0.9438
# - M_tot: 0.0 μB/cell
# - E_form: -0.215 eV per atom

---

Record 2
# CsK2BeAs2 PBE optimized geometry
data_CsK2BeAs2
_chemical_formula_sum 'Cs4 K8 Be4 As8'
_cell_length_a 8.4562
_cell_length_b 13.4018
_cell_length_c 7.4234
_cell_angle_alpha 90.00
_cell_angle_beta 90.00
_cell_angle_gamma 90.00
_space_group_name_H-M_alt 'I b a m'
_space_group_IT_number 72
_space_group_name_Hall '-I 2 2c'
loop_
_atom_site_label
_atom_site_fract_x
_atom_site_fract_y
_atom_site_fract_z
Cs1 0.0000 0.0000 0.2500
K1 0.1798 0.3096 0.0000
Be1 0.0000 0.5000 0.2500
As1 0.1381 0.4381 0.5000
# - M_tot: 0.0 μB/cell
# - E_form: -0.227 eV per atom

---

The calculation returns the following DFT total energy values, one per record and in order: -2.286, -2.906 eV per atom.